1.
# Pm3Cd2Ga4, relaxed, DFT GGA-PBE
# Space-group type: C2/m
# Excess energy over the best structure of this formula in the dataset (meV/atom): 103
# ρ (g cm⁻³): 7.258
# Formation energy from the elements (eV per atom): -0.435
data_Pm3Cd2Ga4
_cell_length_a 5.8646
_cell_length_b 5.8646
_cell_length_c 9.0358
_cell_angle_alpha 97.47
_cell_angle_beta 97.47
_cell_angle_gamma 44.26
_symmetry_space_group_name_H-M 'P 1'
_symmetry_Int_Tables_number 1
_symmetry_space_group_name_Hall 'P 1'
loop_
_atom_site_label
_atom_site_fract_x
_atom_site_fract_y
_atom_site_fract_z
_atom_site_occupancy
Pm1 0.0000 0.0000 0.0000 1
Pm2 0.3684 0.3684 0.6141 1
Pm3 0.6316 0.6316 0.3859 1
Cd1 0.3173 0.3173 0.2318 1
Cd2 0.6827 0.6827 0.7682 1
Ga1 0.0701 0.0701 0.6356 1
Ga2 0.3009 0.3009 0.9262 1
Ga3 0.6991 0.6991 0.0738 1
Ga4 0.9299 0.9299 0.3644 1

***

2.
# TbErPu2N4, relaxed, DFT GGA-PBE
# ΔE_f (raw) (eV/atom): -1.4817
# Space-group type: P2/m
# ρ (g cm⁻³): 12.222
data_TbErPu2N4
_cell_length_a 5.9845
_cell_length_b 3.4790
_cell_length_c 6.0278
_cell_angle_alpha 90.00
_cell_angle_beta 109.60
_cell_angle_gamma 90.00
_symmetry_space_group_name_H-M 'P 1'
_symmetry_Int_Tables_number 1
_symmetry_space_group_name_Hall 'P 1'
loop_
_atom_site_label
_atom_site_fract_x
_atom_site_fract_y
_atom_site_fract_z
_atom_site_occupancy
Tb1 0.0000 0.0000 0.0000 1
Er1 0.0000 0.5000 0.5000 1
Pu1 0.5000 0.0000 0.5000 1
Pu2 0.5000 0.5000 0.0000 1
N1 0.2557 0.0000 0.7487 1
N2 0.2580 0.5000 0.2560 1
N3 0.7420 0.5000 0.7440 1
N4 0.7443 0.0000 0.2513 1

***

Repeat the second record exactly.
# TbErPu2N4, relaxed, DFT GGA-PBE
# ΔE_f (raw) (eV/atom): -1.4817
# Space-group type: P2/m
# ρ (g cm⁻³): 12.222
data_TbErPu2N4
_cell_length_a 5.9845
_cell_length_b 3.4790
_cell_length_c 6.0278
_cell_angle_alpha 90.00
_cell_angle_beta 109.60
_cell_angle_gamma 90.00
_symmetry_space_group_name_H-M 'P 1'
_symmetry_Int_Tables_number 1
_symmetry_space_group_name_Hall 'P 1'
loop_
_atom_site_label
_atom_site_fract_x
_atom_site_fract_y
_atom_site_fract_z
_atom_site_occupancy
Tb1 0.0000 0.0000 0.0000 1
Er1 0.0000 0.5000 0.5000 1
Pu1 0.5000 0.0000 0.5000 1
Pu2 0.5000 0.5000 0.0000 1
N1 0.2557 0.0000 0.7487 1
N2 0.2580 0.5000 0.2560 1
N3 0.7420 0.5000 0.7440 1
N4 0.7443 0.0000 0.2513 1

***

Copy entry 1 word for word.
# Pm3Cd2Ga4, relaxed, DFT GGA-PBE
# Space-group type: C2/m
# Excess energy over the best structure of this formula in the dataset (meV/atom): 103
# ρ (g cm⁻³): 7.258
# Formation energy from the elements (eV per atom): -0.435
data_Pm3Cd2Ga4
_cell_length_a 5.8646
_cell_length_b 5.8646
_cell_length_c 9.0358
_cell_angle_alpha 97.47
_cell_angle_beta 97.47
_cell_angle_gamma 44.26
_symmetry_space_group_name_H-M 'P 1'
_symmetry_Int_Tables_number 1
_symmetry_space_group_name_Hall 'P 1'
loop_
_atom_site_label
_atom_site_fract_x
_atom_site_fract_y
_atom_site_fract_z
_atom_site_occupancy
Pm1 0.0000 0.0000 0.0000 1
Pm2 0.3684 0.3684 0.6141 1
Pm3 0.6316 0.6316 0.3859 1
Cd1 0.3173 0.3173 0.2318 1
Cd2 0.6827 0.6827 0.7682 1
Ga1 0.0701 0.0701 0.6356 1
Ga2 0.3009 0.3009 0.9262 1
Ga3 0.6991 0.6991 0.0738 1
Ga4 0.9299 0.9299 0.3644 1

***

Q: What is the ρ in the second record?
A: 12.222 g cm⁻³

***

Q: The highest ρ belongs to which entry?
A: TbErPu2N4